Record 1
A geometry-optimized NpAsPbO5 structure, computed with PBE.

Results
Final energy = -244.3 eV for the cell shown
Spin magnetization = 8.00 μB per cell
Energy relative to the elements, uncorrected = -1.872 eV/atom

Cell: 8.019 9.507 8.169 Å, 90.00 115.02 90.00°
Space group C2/c (No. 15)
Unique sites:
Np1 0.250 0.250 0.000 [4 per cell]
As1 0.000 0.054 0.250 [4 per cell]
Pb1 0.000 0.449 0.250 [4 per cell]
O1 0.000 0.285 0.750 [4 per cell]
O2 0.068 0.179 0.129 [8 per cell]
O3 0.210 0.453 0.062 [8 per cell]

=====

Record 2
A geometry-optimized PrNpAsO2 structure, computed with PBE.

Results
Final energy = -88.1 eV for the cell shown
Spin magnetization = 5.99 μB per cell
Energy relative to the elements, uncorrected = -2.355 eV/atom

Cell: 3.873 3.873 12.403 Å, 90.00 90.00 90.00°
Space group I4mm (No. 107)
Unique sites:
Pr1 0.000 0.000 0.000 [2 per cell]
Np1 0.000 0.000 0.294 [2 per cell]
As1 0.000 0.000 0.646 [2 per cell]
O1 0.000 0.500 0.383 [4 per cell]

=====

Record 3
A geometry-optimized Rb2NpAsO6 structure, computed with PBE.

Results
Final energy = -274.1 eV for the cell shown
Spin magnetization = 0.18 μB per cell
Energy relative to the elements, uncorrected = -1.924 eV/atom

Cell: 8.454 8.454 8.454 Å, 90.00 90.00 90.00°
Space group Fm-3m (No. 225)
Unique sites:
Rb1 0.250 0.250 0.250 [8 per cell]
Np1 0.000 0.000 0.000 [4 per cell]
As1 0.000 0.000 0.500 [4 per cell]
O1 0.000 0.000 0.243 [24 per cell]

=====

Record 4
A geometry-optimized RbNpAsO5 structure, computed with PBE.

Results
Final energy = -241.0 eV for the cell shown
Spin magnetization = 4.00 μB per cell
Energy relative to the elements, uncorrected = -2.114 eV/atom

Cell: 7.354 10.369 7.957 Å, 90.00 101.35 90.00°
Space group C2/c (No. 15)
Unique sites:
Rb1 0.000 0.149 0.250 [4 per cell]
Np1 0.000 0.500 0.000 [4 per cell]
As1 0.000 0.193 0.750 [4 per cell]
O1 0.000 0.430 0.250 [4 per cell]
O2 0.089 0.296 0.615 [8 per cell]
O3 0.248 0.448 0.023 [8 per cell]

=====

Record 5
A geometry-optimized RbNp2AsO8 structure, computed with PBE.

Results
Final energy = -96.5 eV for the cell shown
Spin magnetization = 2.00 μB per cell
Energy relative to the elements, uncorrected = -2.113 eV/atom

Cell: 5.154 5.162 7.212 Å, 88.65 88.62 85.40°
Space group P-1 (No. 2)
Unique sites:
Rb1 0.000 0.000 0.000 [1 per cell]
Np1 0.490 0.489 0.263 [2 per cell]
As1 0.000 0.000 0.500 [1 per cell]
O1 0.219 0.783 0.298 [2 per cell]
O2 0.219 0.783 0.702 [2 per cell]
O3 0.316 0.318 0.486 [2 per cell]
O4 0.344 0.348 0.949 [2 per cell]

=====

Record 6
A geometry-optimized RbNpAs2O8 structure, computed with PBE.

Results
Final energy = -254.0 eV for the cell shown
Spin magnetization = 6.00 μB per cell
Energy relative to the elements, uncorrected = -1.817 eV/atom

Cell: 5.3385 5.3385 27.6087 Å, 90.00 90.00 120.00°
Space group R-3 (No. 148, hexagonal axes)
Unique sites:
Rb1 0.0000 0.0000 0.0000 [3 per cell]
Np1 0.0000 0.0000 0.5000 [3 per cell]
As1 0.0000 0.0000 0.2376 [6 per cell]
O1 0.0000 0.0000 0.2978 [6 per cell]
O2 0.0142 0.3877 0.8793 [18 per cell]

=====

Record 7
A geometry-optimized Rb3NpAs2O8 structure, computed with PBE.

Results
Final energy = -89.8 eV for the cell shown
Spin magnetization = 1.05 μB per cell
Energy relative to the elements, uncorrected = -1.782 eV/atom

Cell: 6.2861 6.2861 7.9757 Å, 90.00 90.00 120.00°
Space group P-3m1 (No. 164)
Unique sites:
Rb1 0.0000 0.0000 0.0000 [1 per cell]
Rb2 0.3333 0.6667 0.7499 [2 per cell]
Np1 0.0000 0.0000 0.5000 [1 per cell]
As1 0.3333 0.6667 0.2979 [2 per cell]
O1 0.1543 0.3087 0.3422 [6 per cell]
O2 0.3333 0.6667 0.0853 [2 per cell]

=====

Record 8
A geometry-optimized NpAsRhO6 structure, computed with PBE.

Results
Final energy = -137.0 eV for the cell shown
Spin magnetization = 2.00 μB per cell
Energy relative to the elements, uncorrected = -1.535 eV/atom

Cell: 5.4135 5.4135 8.7621 Å, 90.00 90.00 120.00°
Space group P-31c (No. 163)
Unique sites:
Np1 0.3333 0.6667 0.2500 [2 per cell]
As1 0.3333 0.6667 0.7500 [2 per cell]
Rh1 0.0000 0.0000 0.0000 [2 per cell]
O1 0.0095 0.3326 0.1253 [12 per cell]

=====

Record 9
A geometry-optimized SmNpAsO2 structure, computed with PBE.

Results
Final energy = -88.4 eV for the cell shown
Spin magnetization = 6.00 μB per cell
Energy relative to the elements, uncorrected = -2.390 eV/atom

Cell: 3.837 3.837 12.252 Å, 90.00 90.00 90.00°
Space group I4mm (No. 107)
Unique sites:
Sm1 0.000 0.000 0.000 [2 per cell]
Np1 0.000 0.000 0.295 [2 per cell]
As1 0.000 0.000 0.648 [2 per cell]
O1 0.000 0.500 0.389 [4 per cell]

=====

Record 10
A geometry-optimized SrNpAsO5 structure, computed with PBE.

Results
Final energy = -252.8 eV for the cell shown
Spin magnetization = 8.00 μB per cell
Energy relative to the elements, uncorrected = -2.392 eV/atom

Cell: 8.062 9.309 8.230 Å, 90.00 116.10 90.00°
Space group C2/c (No. 15)
Unique sites:
Sr1 0.000 0.066 0.250 [4 per cell]
Np1 0.250 0.250 0.000 [4 per cell]
As1 0.000 0.444 0.250 [4 per cell]
O1 0.000 0.219 0.750 [4 per cell]
O2 0.068 0.312 0.135 [8 per cell]
O3 0.210 0.042 0.053 [8 per cell]

=====

Record 11
A geometry-optimized SrNpAs2O8 structure, computed with PBE.

Results
Final energy = -87.6 eV for the cell shown
Spin magnetization = 3.00 μB per cell
Energy relative to the elements, uncorrected = -2.003 eV/atom

Cell: 5.6676 5.6676 7.3382 Å, 90.00 90.00 120.00°
Space group P-3 (No. 147)
Unique sites:
Sr1 0.0000 0.0000 0.0000 [1 per cell]
Np1 0.0000 0.0000 0.5000 [1 per cell]
As1 0.3333 0.6667 0.7852 [2 per cell]
O1 0.1606 0.8244 0.7011 [6 per cell]
O2 0.3333 0.6667 0.0138 [2 per cell]

=====

Record 12
A geometry-optimized TbNpAsO2 structure, computed with PBE.

Results
Final energy = -88.5 eV for the cell shown
Spin magnetization = 6.01 μB per cell
Energy relative to the elements, uncorrected = -2.420 eV/atom

Cell: 3.798 3.798 12.163 Å, 90.00 90.00 90.00°
Space group I4mm (No. 107)
Unique sites:
Tb1 0.000 0.000 0.000 [2 per cell]
Np1 0.000 0.000 0.296 [2 per cell]
As1 0.000 0.000 0.652 [2 per cell]
O1 0.000 0.500 0.396 [4 per cell]

=====

What did the ninth record say?
A geometry-optimized SmNpAsO2 structure, computed with PBE.

Results
Final energy = -88.4 eV for the cell shown
Spin magnetization = 6.00 μB per cell
Energy relative to the elements, uncorrected = -2.390 eV/atom

Cell: 3.837 3.837 12.252 Å, 90.00 90.00 90.00°
Space group I4mm (No. 107)
Unique sites:
Sm1 0.000 0.000 0.000 [2 per cell]
Np1 0.000 0.000 0.295 [2 per cell]
As1 0.000 0.000 0.648 [2 per cell]
O1 0.000 0.500 0.389 [4 per cell]